Below is a relaxed Ce3FeBr3 crystal, with properties calculated at the PBE level.

Cell: 4.213 8.849 11.297 Å, 93.28 90.00 90.00°
Element x y z (fractional)
Fe 0.750 0.119 0.643
Fe 0.250 0.881 0.357
Ce 0.250 0.900 0.599
Ce 0.750 0.120 0.834
Ce 0.250 0.880 0.166
Ce 0.750 0.665 0.373
Ce 0.750 0.100 0.401
Ce 0.250 0.335 0.627
Br 0.750 0.637 0.111
Br 0.250 0.385 0.360
Br 0.750 0.615 0.640
Br 0.250 0.876 0.880
Br 0.250 0.363 0.889
Br 0.750 0.124 0.120

## Properties
uncorrected energy	-77.76	eV for the cell shown
N(E_F)	2.20	states/eV per atom
formation energy without anion corrections	-7.6	eV per formula unit